This record from the Alexandria database describes a relaxed KRbTl2Cl8 crystal. The functional is GGA-PBE.

Raw formation energy in kJ/mol of atoms: -110.5
Total moment in Bohr magnetons per cell: 0.00
Raw total energy in eV/atom: -2.942

Cell lengths 7.141, 7.141, 16.114 Å; angles 90.00, 90.00, 90.00 degrees
Space group I-4 (No. 82)
Unique sites:
K  0.000  0.000  0.000 x2
Rb  0.000  0.500  0.250 x2
Tl  0.000  0.000  0.500 x2
Tl  0.000  0.500  0.750 x2
Cl  0.154  0.745  0.835 x8
Cl  0.162  0.245  0.418 x8